Record 1
{
  "formula": "Sr2Li3Cu12Ge",
  "functional": "GGA-PBE",
  "state": "relaxed",
  "delta_e_f_mev_per_atom": 113,
  "total_magnetization_mub_per_fu": 0.00,
  "energy_ev_per_atom": -3.380,
  "lattice_angstrom": [[-8.349, -2.308, 4.671], [-8.236, -5.346, -0.672], [-4.984, -7.423, 4.114]],
  "species": ["Sr", "Sr", "Li", "Li", "Li", "Cu", "Cu", "Cu", "Cu", "Cu", "Cu", "Cu", "Cu", "Cu", "Cu", "Cu", "Cu", "Ge"],
  "fractional_positions": [[0.649, 0.649, 0.649], [0.351, 0.351, 0.351], [0.500, 0.000, 0.000], [0.000, 0.500, 0.000], [0.000, 0.000, 0.500], [0.417, 0.417, 0.809], [0.936, 0.936, 0.350], [0.350, 0.936, 0.936], [0.809, 0.417, 0.417], [0.936, 0.350, 0.936], [0.417, 0.809, 0.417], [0.583, 0.583, 0.191], [0.064, 0.064, 0.650], [0.650, 0.064, 0.064], [0.191, 0.583, 0.583], [0.064, 0.650, 0.064], [0.583, 0.191, 0.583], [0.000, 0.000, 0.000]]
}

---

Record 2
{
  "formula": "La2Si3HgPt4",
  "functional": "GGA-PBE",
  "state": "relaxed",
  "formation_energy_uncorrected_ev_per_atom": -0.93,
  "total_magnetization_mub_per_fu": 0.00,
  "energy_ev_per_atom": -5.993,
  "lattice_angstrom": [[4.342, 0.000, 0.000], [0.000, 4.342, 0.000], [0.000, 0.000, 10.414]],
  "species": ["La", "La", "Si", "Si", "Si", "Hg", "Pt", "Pt", "Pt", "Pt"],
  "fractional_positions": [[0.500, 0.000, 0.248], [0.000, 0.500, 0.752], [0.000, 0.000, 0.500], [0.500, 0.000, 0.882], [0.000, 0.500, 0.118], [0.500, 0.500, 0.500], [0.500, 0.500, 0.000], [0.000, 0.000, 0.000], [0.500, 0.000, 0.655], [0.000, 0.500, 0.345]]
}

---

Record 3
{
  "formula": "LiSe3S",
  "functional": "GGA-PBE",
  "state": "relaxed",
  "formation_energy_uncorrected_ev_per_atom": 0.62,
  "total_magnetization_mub_per_fu": 0.00,
  "energy_ev_per_atom": -2.679,
  "lattice_angstrom": [[-2.837, 3.295, -1.603], [-0.738, -2.500, -3.832], [-3.589, -2.090, 2.055]],
  "species": ["S", "Se", "Se", "Se", "Li"],
  "fractional_positions": [[0.500, 0.500, 0.500], [0.000, 0.500, 0.000], [0.000, 0.000, 0.500], [0.500, 0.000, 0.000], [0.000, 0.000, 0.000]]
}